# Sc4Ta2Cu3C3

A geometry-optimized Sc4Ta2Cu3C3 structure (PBE-GGA, the Open Quantum Materials Database).

Unit cell a=5.6122 b=5.6264 c=13.7592 alpha=101.48 beta=90.07 gamma=119.90
Sites, in units of the cell vectors:
Sc1 0.0432 0.2312 0.1017
Sc2 0.1207 0.4235 0.3983
Sc3 0.1884 0.2311 0.6016
Sc4 0.3023 0.4236 0.8984
Sc5 0.6977 0.5764 0.1016
Sc6 0.8116 0.7689 0.3984
Sc7 0.8793 0.5765 0.6017
Sc8 0.9568 0.7688 0.8983
Ta1 0.3467 0.8733 0.0806
Ta2 0.4730 0.1267 0.4195
Ta3 0.5270 0.8733 0.5805
Ta4 0.6533 0.1267 0.9194
Cu1 0.1491 0.9991 0.2500
Cu2 0.3254 0.7324 0.7497
Cu3 0.4086 0.7330 0.2497
Cu4 0.5914 0.2670 0.7503
Cu5 0.6746 0.2676 0.2503
Cu6 0.8509 0.0009 0.7500
C1 0.0000 0.5000 0.0000
C2 0.1879 0.8442 0.5002
C3 0.3436 0.1558 0.9998
C4 0.5000 0.5000 0.5000
C5 0.6564 0.8442 0.0002
C6 0.8121 0.1558 0.4998

Total magnetization   0.0 μB/f.u.
Energy   -7.657 eV per atom